[1]
Ag2PtBr after structural relaxation. Source: Alexandria, functional PBE-GGA.

Computed properties:
Energy relative to the lowest polymorph listed for this composition, meV per atom: 0
Crystal system: orthorhombic
Formation energy without anion corrections, eV per formula unit: 0.5
Density of states at the Fermi level, states/eV/f.u.: 2.3

Cell: 3.5028 3.0036 7.7370 Å, 90.01 90.00 90.00°
Closest atoms and distances in Å follow each position.
Element x y z (fractional)
Pt1 0.5000 0.7500 0.7500  8 Ag 2.83, 2 Pt 3.00
Ag1 0.0000 0.2496 0.5391  4 Pt 2.83, 2 Br 2.84, 2 Ag 3.00
Ag2 0.0000 0.2504 0.9609  4 Pt 2.83, 2 Br 2.84, 2 Ag 3.00
Br1 0.5000 0.2500 0.2500  4 Ag 2.84, 2 Br 3.00

[2]
NdMgPdPt after structural relaxation. Source: Alexandria, functional PBE-GGA.

Computed properties:
Energy relative to the lowest polymorph listed for this composition, meV per atom: 54
Crystal system: cubic
Density of states at the Fermi level, states/eV/f.u.: 3.1
Formation enthalpy at 0 K, kJ/mol of atoms: -78.5

Cell: 4.8739 4.8739 4.8739 Å, 60.00 60.00 60.00°
Closest atoms and distances in Å follow each position.
Element x y z (fractional)
Nd1 0.5000 0.5000 0.5000  4 Pd 2.98, 4 Pt 2.98
Mg1 0.0000 0.0000 0.0000  4 Pd 2.98, 4 Pt 2.98
Pd1 0.7500 0.7500 0.7500  4 Mg 2.98, 4 Nd 2.98
Pt1 0.2500 0.2500 0.2500  4 Mg 2.98, 4 Nd 2.98

[3]
Dy2MnAl2Ni5 after structural relaxation. Source: Alexandria, functional PBE-GGA.

Computed properties:
Crystal system: tetragonal
Density of states at the Fermi level, states/eV/f.u.: 6.4
Formation enthalpy at 0 K, kJ/mol of atoms: -28.3

Cell: 3.2255 9.7565 9.7565 Å, 90.00 90.00 90.00°
Closest atoms and distances in Å follow each position.
Element x y z (fractional)
Ni1 0.5000 0.3025 0.5542  2 Al 2.47, 2 Mn 2.57
Ni2 0.5000 0.5542 0.6975  2 Al 2.47, 2 Mn 2.57
Ni3 0.5000 0.6975 0.4458  2 Al 2.47, 2 Mn 2.57
Ni4 0.5000 0.5000 0.0000  4 Al 2.36
Ni5 0.5000 0.8025 0.9458  2 Al 2.47, 2 Mn 2.57
Ni6 0.5000 0.4458 0.3025  2 Al 2.47, 2 Mn 2.57
Ni7 0.5000 0.0000 0.5000  4 Al 2.36
Ni8 0.5000 0.9458 0.1975  2 Al 2.47, 2 Mn 2.57
Ni9 0.5000 0.0542 0.8025  2 Al 2.47, 2 Mn 2.57
Ni10 0.5000 0.1975 0.0542  2 Al 2.47, 2 Mn 2.57
Dy1 0.0000 0.1751 0.3249  3 Al 2.76-2.96, 6 Ni 2.90-3.03
Dy2 0.0000 0.6751 0.1751  3 Al 2.76-2.96, 6 Ni 2.90-3.03
Dy3 0.0000 0.8249 0.6751  3 Al 2.76-2.96, 6 Ni 2.90-3.03
Dy4 0.0000 0.3249 0.8249  3 Al 2.76-2.96, 6 Ni 2.90-3.03
Al1 0.0000 0.8754 0.3754  6 Ni 2.36-2.47
Al2 0.0000 0.6246 0.8754  6 Ni 2.36-2.47
Al3 0.0000 0.1246 0.6246  6 Ni 2.36-2.47
Al4 0.0000 0.3754 0.1246  6 Ni 2.36-2.47
Mn1 0.0000 0.0000 0.0000  8 Ni 2.57
Mn2 0.0000 0.5000 0.5000  8 Ni 2.57

[4]
LiDyThS3 after structural relaxation. Source: Alexandria, functional PBE-GGA.

Computed properties:
Crystal system: monoclinic
Formation energy without anion corrections, eV per formula unit: -10.4
Density of states at the Fermi level, states/eV/f.u.: 2.1

Cell: 3.8180 8.1160 8.4434 Å, 103.44 90.00 90.00°
Closest atoms and distances in Å follow each position.
Element x y z (fractional)
S1 0.7500 0.9069 0.1344  1 Li 2.36
S2 0.7500 0.4391 0.1888  3 Dy 2.69-2.79, 2 Th 2.81
S3 0.2500 0.0931 0.8656  1 Li 2.36
S4 0.7500 0.2134 0.4929  3 Li 2.36-2.41
S5 0.2500 0.5609 0.8112  3 Dy 2.69-2.79, 2 Th 2.81
S6 0.2500 0.7866 0.5071  3 Li 2.36-2.41
Li1 0.7500 0.9084 0.4144  4 S 2.36-2.41, 2 Li 2.64
Li2 0.2500 0.0916 0.5856  4 S 2.36-2.41, 2 Li 2.64
Dy1 0.7500 0.3401 0.8495  6 S 2.69-2.95
Dy2 0.2500 0.6599 0.1505  6 S 2.69-2.95
Th1 0.2500 0.1927 0.2162  7 S 2.81-2.99
Th2 0.7500 0.8073 0.7838  7 S 2.81-2.99

[5]
Ca2Rh after structural relaxation. Source: Alexandria, functional PBE-GGA.

Computed properties:
Crystal system: orthorhombic
Density of states at the Fermi level, states/eV/f.u.: 1.2
Formation enthalpy at 0 K, kJ/mol of atoms: -24.1

Cell: 9.4999 9.4999 5.1522 Å, 90.00 90.00 159.24°
Closest atoms and distances in Å follow each position.
Element x y z (fractional)
Ca1 0.3141 0.6859 0.7500  2 Rh 2.83
Ca2 0.5625 0.4375 0.7500  6 Rh 2.94-3.09
Ca3 0.4375 0.5625 0.2500  6 Rh 2.94-3.09
Ca4 0.6859 0.3141 0.2500  2 Rh 2.83
Rh1 0.0651 0.9349 0.2500  8 Ca 2.83-3.09
Rh2 0.9349 0.0651 0.7500  8 Ca 2.83-3.09

[6]
TbBiPb after structural relaxation. Source: Alexandria, functional PBE-GGA.

Computed properties:
Energy relative to the lowest polymorph listed for this composition, meV per atom: 0
Crystal system: tetragonal
Density of states at the Fermi level, states/eV/f.u.: 1.4
Formation enthalpy at 0 K, kJ/mol of atoms: -31.2

Cell: 4.8865 4.8865 8.5184 Å, 106.67 106.67 90.00°
Closest atoms and distances in Å follow each position.
Element x y z (fractional)
Bi1 0.0000 0.5000 0.0000  4 Tb 3.26, 4 Bi 3.46, 4 Pb 3.48
Bi2 0.5000 0.0000 0.0000  4 Tb 3.26, 4 Bi 3.46, 4 Pb 3.48
Tb1 0.8610 0.8610 0.7220  5 Pb 3.14-3.47, 4 Bi 3.26
Tb2 0.1390 0.1390 0.2780  5 Pb 3.14-3.47, 4 Bi 3.26
Pb1 0.6595 0.6595 0.3190  5 Tb 3.14-3.47, 4 Bi 3.48
Pb2 0.3405 0.3405 0.6810  5 Tb 3.14-3.47, 4 Bi 3.48

[7]
NaLi3U2Se6 after structural relaxation. Source: Alexandria, functional PBE-GGA.

Computed properties:
Crystal system: monoclinic
Formation energy without anion corrections, eV per formula unit: -14.3
Density of states at the Fermi level, states/eV/f.u.: 12.6

Cell: 4.0796 8.1650 8.8809 Å, 101.75 103.28 90.00°
Closest atoms and distances in Å follow each position.
Element x y z (fractional)
U1 0.1604 0.3247 0.3208  6 Se 2.69-2.89
U2 0.8396 0.6753 0.6792  6 Se 2.69-2.89
Na1 0.5000 0.0000 0.0000  6 Se 2.96-2.98
Se1 0.3311 0.4227 0.6622  3 Li 2.86-2.95, 3 U 2.88-2.89
Se2 0.9989 0.7326 0.9978  1 U 2.69, 3 Li 2.74-2.79, 2 Na 2.98
Se3 0.0011 0.2674 0.0022  1 U 2.69, 3 Li 2.74-2.79, 2 Na 2.98
Se4 0.6689 0.5773 0.3378  3 Li 2.86-2.95, 3 U 2.88-2.89
Se5 0.3253 0.9083 0.6506  3 Li 2.79-2.90, 2 U 2.84, 1 Na 2.96
Se6 0.6747 0.0917 0.3494  3 Li 2.79-2.90, 2 U 2.84, 1 Na 2.96
Li1 0.1603 0.8342 0.3206  6 Se 2.74-2.95
Li2 0.5000 0.5000 0.0000  6 Se 2.79-2.86
Li3 0.8397 0.1658 0.6794  6 Se 2.74-2.95

[8]
Sm6Ru2CCl3 after structural relaxation. Source: Alexandria, functional PBE-GGA.

Computed properties:
Crystal system: monoclinic
Formation energy without anion corrections, eV per formula unit: -10.7
Density of states at the Fermi level, states/eV/f.u.: 8.6

Cell: 6.8823 6.8823 7.6630 Å, 98.32 98.32 120.17°
Closest atoms and distances in Å follow each position.
Element x y z (fractional)
Ru1 0.6688 0.3312 0.0000  6 Sm 2.75-2.77
Ru2 0.3312 0.6688 0.0000  6 Sm 2.75-2.77
Sm1 0.2540 0.2540 0.8063  1 C 2.60, 2 Ru 2.77
Sm2 0.9380 0.6271 0.8050  1 C 2.57, 2 Ru 2.75-2.77
Sm3 0.0620 0.3729 0.1950  1 C 2.57, 2 Ru 2.75-2.77
Sm4 0.3729 0.0620 0.1950  1 C 2.57, 2 Ru 2.75-2.77
Sm5 0.7460 0.7460 0.1937  1 C 2.60, 2 Ru 2.77
Sm6 0.6271 0.9380 0.8050  1 C 2.57, 2 Ru 2.75-2.77
Cl1 0.1568 0.8432 0.5000  6 Sm 3.11-3.41
Cl2 0.5000 0.5000 0.5000  6 Sm 3.17-3.27
Cl3 0.8432 0.1568 0.5000  6 Sm 3.11-3.41
C1 0.0000 0.0000 0.0000  6 Sm 2.57-2.60

Repeat the fifth record exactly.
Ca2Rh after structural relaxation. Source: Alexandria, functional PBE-GGA.

Computed properties:
Crystal system: orthorhombic
Density of states at the Fermi level, states/eV/f.u.: 1.2
Formation enthalpy at 0 K, kJ/mol of atoms: -24.1

Cell: 9.4999 9.4999 5.1522 Å, 90.00 90.00 159.24°
Closest atoms and distances in Å follow each position.
Element x y z (fractional)
Ca1 0.3141 0.6859 0.7500  2 Rh 2.83
Ca2 0.5625 0.4375 0.7500  6 Rh 2.94-3.09
Ca3 0.4375 0.5625 0.2500  6 Rh 2.94-3.09
Ca4 0.6859 0.3141 0.2500  2 Rh 2.83
Rh1 0.0651 0.9349 0.2500  8 Ca 2.83-3.09
Rh2 0.9349 0.0651 0.7500  8 Ca 2.83-3.09